No. 1
First-principles (SCAN) data for a crystal of CoTc5 relaxed with PBEsol, as listed in Alexandria.

a b c (Å): 3.7632 3.7521 5.9621
angles (deg): 90.00 108.40 90.00
With the nearest neighbours (Å) after each atom.
Positions (direct):
1 Co 0.5000 0.0000 0.0000  12 Tc 2.62-2.66
2 Tc 0.3381 0.5000 0.6762  2 Co 2.62, 10 Tc 2.63-2.75
3 Tc 0.6619 0.5000 0.3238  2 Co 2.62, 10 Tc 2.63-2.75
4 Tc 0.0000 0.5000 0.0000  8 Tc 2.61-2.63, 4 Co 2.66
5 Tc 0.1608 0.0000 0.3216  10 Tc 2.61-2.76, 2 Co 2.62
6 Tc 0.8392 0.0000 0.6784  10 Tc 2.61-2.76, 2 Co 2.62

Calculated values
Energy relative to the elements in eV/atom: 0.09
DOS(E_F) in states/eV/cell: 6.28
Space group: Cmmm
Distance to the lowest polymorph of the same formula in kJ per mole of atoms: 3.97

---

No. 2
First-principles (SCAN) data for a crystal of CoTc5 relaxed with PBEsol, as listed in Alexandria.

a b c (Å): 2.6848 5.0459 6.2987
angles (deg): 103.48 90.00 105.43
With the nearest neighbours (Å) after each atom.
Positions (direct):
1 Co 0.9988 0.9977 0.0003  10 Tc 2.57-2.66, 2 Co 2.68
2 Tc 0.3376 0.6753 0.6704  10 Tc 2.59-2.75, 2 Co 2.65
3 Tc 0.3938 0.7875 0.2705  10 Tc 2.56-2.71, 2 Co 2.57
4 Tc 0.7190 0.4380 0.9483  9 Tc 2.57-2.68, 3 Co 2.61-2.66
5 Tc 0.6635 0.3270 0.3272  10 Tc 2.56-2.75, 2 Co 2.65
6 Tc 0.0539 0.1078 0.6166  11 Tc 2.59-2.71, 1 Co 2.60

Calculated values
Energy relative to the elements in eV/atom: 0.05
DOS(E_F) in states/eV/cell: 5.02
Space group: Cm
Distance to the lowest polymorph of the same formula in kJ per mole of atoms: 0.12